(1)
DFT (PBE) results for an optimized crystal structure of Nb2ZnNiH.

abc: 4.090 3.808 4.090
angles: 90.00 90.00 90.00
Positions (direct):
Ni 0.000 0.500 0.000
Zn 0.500 0.500 0.500
Nb 0.500 0.000 0.000
Nb 0.000 0.000 0.500
H 0.000 0.000 0.000

crystal system = tetragonal
symmetry = P4/mmm (123)

***

(2)
DFT (PBE) results for an optimized crystal structure of CdSbMo2.

abc: 5.494 5.494 5.494
angles: 143.96 129.42 63.67
Positions (direct):
Sb 0.483 0.483 0.000
Cd 0.756 0.256 0.500
Mo 0.238 0.738 0.500
Mo 0.023 0.023 0.000

crystal system = orthorhombic
formation energy without anion corrections = 0.439 eV per atom
symmetry = Imm2 (44)

***

For each record above, in turn, the calculated E above lowest polymorph values are 0 206 meV/atom.
For each record above, in turn, the calculated magnetic moment values are 0.000 0.000 μB per atom.